1.
An optimized crystal structure of CaZr2Hg. Source: Alexandria via LeMat-Bulk, functional PBE-GGA.

a b c (Å): 6.551 6.551 6.551
angles (deg): 150.30 133.66 56.01
Fractional positions:
Ca1 0.000 0.000 0.000
Zr1 0.278 0.778 0.500
Zr2 0.722 0.222 0.500
Hg1 0.500 0.500 0.000

Calculated values
Total magnetization = 0.00 μB per cell
Formation enthalpy at 0 K = -39 meV/atom
Symmetry = Immm
Calculated volume = 100.1 Å³/f.u.
N(E_F) = 4.08 states/eV per cell

=====

2.
An optimized crystal structure of CaZr2Hg. Source: Alexandria via LeMat-Bulk, functional PBE-GGA.

a b c (Å): 3.391 3.391 8.876
angles (deg): 90.00 90.00 90.00
Fractional positions:
Ca1 0.000 0.000 0.000
Zr1 0.000 0.000 0.535
Zr2 0.500 0.500 0.312
Hg1 0.500 0.500 0.757

Calculated values
Total magnetization = 0.00 μB per cell
Formation enthalpy at 0 K = -86 meV/atom
Symmetry = P4mm
Calculated volume = 102.1 Å³/f.u.
N(E_F) = 3.85 states/eV per cell

=====

3.
An optimized crystal structure of Ca3ZrHg. Source: Alexandria via LeMat-Bulk, functional PBE-GGA.

a b c (Å): 5.754 5.754 5.754
angles (deg): 90.00 90.00 90.00
Fractional positions:
Ca1 0.000 0.000 0.500
Ca2 0.000 0.500 0.000
Ca3 0.500 0.000 0.000
Zr1 0.500 0.500 0.500
Hg1 0.000 0.000 0.000

Calculated values
Total magnetization = 2.65 μB per cell
Formation enthalpy at 0 K = 439 meV/atom
Symmetry = Pm-3m
Calculated volume = 190.5 Å³/f.u.
N(E_F) = 6.62 states/eV per cell

=====

4.
An optimized crystal structure of CaZr2Hg. Source: Alexandria via LeMat-Bulk, functional PBE-GGA.

a b c (Å): 3.423 4.573 6.274
angles (deg): 90.00 90.00 90.00
Fractional positions:
Ca1 0.000 0.000 0.000
Zr1 0.500 0.500 0.266
Zr2 0.500 0.500 0.734
Hg1 0.000 0.000 0.500

Calculated values
Total magnetization = 0.00 μB per cell
Formation enthalpy at 0 K = 212 meV/atom
Symmetry = Pmmm
Calculated volume = 98.2 Å³/f.u.
N(E_F) = 6.63 states/eV per cell

=====

5.
An optimized crystal structure of CaZrHg2. Source: Alexandria via LeMat-Bulk, functional PBE-GGA.

a b c (Å): 3.576 3.599 7.515
angles (deg): 90.00 90.00 90.00
Fractional positions:
Ca1 0.000 0.000 0.000
Zr1 0.000 0.000 0.500
Hg1 0.500 0.500 0.272
Hg2 0.500 0.500 0.728

Calculated values
Total magnetization = 0.00 μB per cell
Formation enthalpy at 0 K = -291 meV/atom
Symmetry = Pmmm
Calculated volume = 96.7 Å³/f.u.
N(E_F) = 2.59 states/eV per cell

=====

6.
An optimized crystal structure of Ca2ZrHg. Source: Alexandria via LeMat-Bulk, functional PBE-GGA.

a b c (Å): 6.060 6.060 6.060
angles (deg): 134.26 134.26 66.69
Fractional positions:
Ca1 0.000 0.000 0.000
Ca2 0.750 0.250 0.500
Zr1 0.500 0.500 0.000
Hg1 0.250 0.750 0.500

Calculated values
Total magnetization = 2.80 μB per cell
Formation enthalpy at 0 K = 171 meV/atom
Symmetry = I-4m2
Calculated volume = 112.3 Å³/f.u.
N(E_F) = 5.41 states/eV per cell

=====

7.
An optimized crystal structure of Ca2ZrHg. Source: Alexandria via LeMat-Bulk, functional PBE-GGA.

a b c (Å): 10.697 10.697 10.697
angles (deg): 19.26 19.26 19.26
Fractional positions:
Ca1 0.245 0.245 0.245
Ca2 0.755 0.755 0.755
Zr1 0.000 0.000 0.000
Hg1 0.500 0.500 0.500

Calculated values
Total magnetization = 0.00 μB per cell
Formation enthalpy at 0 K = 88 meV/atom
Symmetry = R-3m
Calculated volume = 116.4 Å³/f.u.
N(E_F) = 6.15 states/eV per cell

=====

8.
An optimized crystal structure of Ca2ZrHg. Source: Alexandria via LeMat-Bulk, functional PBE-GGA.

a b c (Å): 3.542 3.542 9.487
angles (deg): 90.00 90.00 90.00
Fractional positions:
Ca1 0.000 0.000 0.000
Ca2 0.500 0.500 0.338
Zr1 0.500 0.500 0.741
Hg1 0.000 0.000 0.558

Calculated values
Total magnetization = 0.00 μB per cell
Formation enthalpy at 0 K = -20 meV/atom
Symmetry = P4mm
Calculated volume = 119.0 Å³/f.u.
N(E_F) = 5.02 states/eV per cell

=====

9.
An optimized crystal structure of CaZrHg2. Source: Alexandria via LeMat-Bulk, functional PBE-GGA.

a b c (Å): 9.507 9.507 9.507
angles (deg): 21.77 21.77 21.77
Fractional positions:
Ca1 0.000 0.000 0.000
Zr1 0.500 0.500 0.500
Hg1 0.246 0.246 0.246
Hg2 0.754 0.754 0.754

Calculated values
Total magnetization = 0.00 μB per cell
Formation enthalpy at 0 K = -120 meV/atom
Symmetry = R-3m
Calculated volume = 103.6 Å³/f.u.
N(E_F) = 3.86 states/eV per cell

=====

10.
An optimized crystal structure of CaZrHg2. Source: Alexandria via LeMat-Bulk, functional PBE-GGA.

a b c (Å): 5.085 3.496 6.164
angles (deg): 90.00 109.02 90.00
Fractional positions:
Ca1 0.000 0.000 0.000
Zr1 0.500 0.500 0.500
Hg1 0.000 0.000 0.500
Hg2 0.500 0.500 0.000

Calculated values
Total magnetization = 0.00 μB per cell
Formation enthalpy at 0 K = -115 meV/atom
Symmetry = P2/m
Calculated volume = 103.6 Å³/f.u.
N(E_F) = 2.85 states/eV per cell

=====

11.
An optimized crystal structure of Ca2ZrHg. Source: Alexandria via LeMat-Bulk, functional PBE-GGA.

a b c (Å): 3.453 3.453 9.420
angles (deg): 90.00 90.00 90.08
Fractional positions:
Ca1 0.000 0.000 0.232
Ca2 0.000 0.000 0.768
Zr1 0.500 0.500 0.500
Hg1 0.500 0.500 0.000

Calculated values
Total magnetization = 0.00 μB per cell
Formation enthalpy at 0 K = -4 meV/atom
Symmetry = Cmmm
Calculated volume = 112.3 Å³/f.u.
N(E_F) = 5.70 states/eV per cell

=====

12.
An optimized crystal structure of CaZr2Hg. Source: Alexandria via LeMat-Bulk, functional PBE-GGA.

a b c (Å): 5.187 5.187 5.187
angles (deg): 60.00 60.00 60.00
Fractional positions:
Ca1 0.000 0.000 0.000
Zr1 0.250 0.250 0.250
Zr2 0.500 0.500 0.500
Hg1 0.750 0.750 0.750

Calculated values
Total magnetization = 2.57 μB per cell
Formation enthalpy at 0 K = 205 meV/atom
Symmetry = F-43m
Calculated volume = 98.7 Å³/f.u.
N(E_F) = 4.13 states/eV per cell

=====

13.
An optimized crystal structure of Ca2ZrHg. Source: Alexandria via LeMat-Bulk, functional PBE-GGA.

a b c (Å): 5.354 5.354 5.354
angles (deg): 60.00 60.00 60.00
Fractional positions:
Ca1 0.000 0.000 0.000
Ca2 0.250 0.250 0.250
Zr1 0.750 0.750 0.750
Hg1 0.500 0.500 0.500

Calculated values
Total magnetization = 0.00 μB per cell
Formation enthalpy at 0 K = 183 meV/atom
Symmetry = F-43m
Calculated volume = 108.5 Å³/f.u.
N(E_F) = 5.09 states/eV per cell

=====

14.
An optimized crystal structure of CaZr2Hg. Source: Alexandria via LeMat-Bulk, functional PBE-GGA.

a b c (Å): 6.276 6.276 6.276
angles (deg): 148.97 127.40 62.34
Fractional positions:
Ca1 0.000 0.000 0.000
Zr1 0.475 0.475 0.000
Zr2 0.715 0.215 0.500
Hg1 0.243 0.743 0.500

Calculated values
Total magnetization = 0.59 μB per cell
Formation enthalpy at 0 K = 147 meV/atom
Symmetry = Imm2
Calculated volume = 100.3 Å³/f.u.
N(E_F) = 5.26 states/eV per cell

=====

15.
An optimized crystal structure of CaZrHg2. Source: Alexandria via LeMat-Bulk, functional PBE-GGA.

a b c (Å): 6.311 6.311 6.311
angles (deg): 148.26 131.89 58.79
Fractional positions:
Ca1 0.000 0.000 0.000
Zr1 0.726 0.226 0.500
Hg1 0.264 0.764 0.500
Hg2 0.494 0.494 0.000

Calculated values
Total magnetization = 0.00 μB per cell
Formation enthalpy at 0 K = -123 meV/atom
Symmetry = Imm2
Calculated volume = 97.7 Å³/f.u.
N(E_F) = 3.51 states/eV per cell